Compound: Cu3AuO
Source: the Alexandria database
Functional: PBE
Structure: optimized geometry

## Properties
space-group type = Pm-3m, No. 221
total magnetization = 0.00 μB per atom
ΔE_f (raw) = 6.3 eV/f.u.

a = 4.7270 Å, b = 4.7270 Å, c = 4.7270 Å
α = 90.00°, β = 90.00°, γ = 90.00°
Fractional coordinates of all 5 atoms:
1 Cu 0.0000 0.5000 0.0000
2 Au 0.0000 0.0000 0.0000
3 Cu 0.0000 0.0000 0.5000
4 Cu 0.5000 0.0000 0.0000
5 O 0.5000 0.5000 0.5000

***

Compound: LiTm2Ga6Fe
Source: the Alexandria database
Functional: PBE
Structure: optimized geometry

## Properties
space-group type = C2/m, No. 12
total magnetization = 0.11 μB per atom
formation energy from the elements = -0.24 eV per atom

a = 7.3186 Å, b = 5.5275 Å, c = 6.3698 Å
α = 64.30°, β = 61.68°, γ = 89.99°
Site moments in Bohr magnetons follow the coordinates.
Fractional coordinates of all 10 atoms:
1 Ga 0.7269 0.7556 0.4891  -0.02
2 Tm 0.7512 0.3390 0.3221  -0.06
3 Tm 0.2488 0.6610 0.6779  -0.06
4 Ga 0.8488 0.3426 0.7798  -0.01
5 Ga 0.8487 0.8775 0.7799  -0.01
6 Ga 0.1513 0.1225 0.2201  -0.01
7 Ga 0.2731 0.2444 0.5109  -0.02
8 Li 0.5000 0.5000 0.0000  0.00
9 Ga 0.1512 0.6574 0.2202  -0.01
10 Fe 0.0000 0.0000 0.0000  1.36

***

Number 1: VASP energy -0.2096 Ry/atom. Number 2: VASP energy -0.2933 Ry/atom.